1.
A geometry-optimized H6PbCI3N structure, computed with PBE-GGA.

Cell lengths 8.915, 8.915, 13.205 Å; angles 89.42, 89.42, 89.97 degrees
Sites, in units of the cell vectors:
I 0.826 0.337 0.494
I 0.527 0.538 0.742
C 0.498 0.027 0.251
I 0.722 0.212 0.996
H 0.441 0.944 0.620
I 0.027 0.999 0.742
H 0.954 0.716 0.712
H 0.716 0.954 0.212
I 0.538 0.527 0.242
H 0.937 0.592 0.618
H 0.383 0.995 0.231
Pb 0.012 0.028 0.486
C 0.043 0.529 0.250
Pb 0.515 0.511 0.986
I 0.999 0.027 0.242
H 0.645 0.021 0.728
H 0.029 0.513 0.332
Pb 0.511 0.515 0.486
H 0.515 0.013 0.332
C 0.529 0.043 0.750
I 0.828 0.708 0.996
H 0.013 0.515 0.832
I 0.213 0.322 0.996
I 0.708 0.828 0.496
H 0.588 0.815 0.215
I 0.212 0.722 0.496
H 0.317 0.953 0.715
N 0.430 0.935 0.697
N 0.605 0.928 0.196
H 0.513 0.029 0.832
Pb 0.028 0.012 0.986
H 0.498 0.157 0.726
H 0.157 0.498 0.226
H 0.519 0.144 0.227
C 0.027 0.498 0.751
H 0.592 0.937 0.118
H 0.021 0.645 0.228
H 0.144 0.519 0.727
H 0.944 0.441 0.120
H 0.455 0.824 0.717
H 0.815 0.588 0.715
N 0.935 0.430 0.197
I 0.322 0.213 0.496
H 0.824 0.455 0.217
H 0.953 0.317 0.215
N 0.928 0.605 0.696
H 0.995 0.383 0.731
I 0.337 0.826 0.994

Values from the calculation:
theoretical density	3.9	g cm⁻³
ΔE to the lowest computed polymorph	0.02	eV per formula unit



2.
A geometry-optimized Nd6Sm2Er3Tl structure, computed with PBE-GGA.

Cell lengths 6.219, 6.219, 11.874 Å; angles 95.03, 95.03, 120.12 degrees
Sites, in units of the cell vectors:
Tl 0.000 0.000 0.000
Nd 0.757 0.757 0.252
Nd 0.589 0.916 0.749
Nd 0.916 0.589 0.749
Nd 0.084 0.411 0.251
Nd 0.243 0.243 0.748
Er 0.167 0.833 0.500
Sm 0.334 0.666 0.000
Nd 0.411 0.084 0.251
Er 0.500 0.500 0.500
Er 0.833 0.167 0.500
Sm 0.666 0.334 0.000

Values from the calculation:
electronic total energy	-54.35	eV/cell
theoretical density	7.9	g cm⁻³



3.
A geometry-optimized PS5Cl2 structure, computed with PBE-GGA.

Cell lengths 8.354, 8.882, 5.735 Å; angles 76.91, 109.86, 125.72 degrees
Sites, in units of the cell vectors:
Cl 0.419 0.350 0.457
Cl 0.491 0.791 0.992
S 0.642 0.701 0.913
S 0.381 0.102 0.435
S 0.990 0.179 0.847
S 0.048 0.818 0.833
P 0.939 0.936 0.928
S 0.090 0.901 0.372

Values from the calculation:
uncorrected formation energy	-0.021	eV per atom
theoretical density	1.3	g cm⁻³



4.
A geometry-optimized Be2Ru structure, computed with PBE-GGA.

Cell lengths 11.225, 11.225, 11.225 Å; angles 162.95, 162.95, 24.21 degrees
Site moments in Bohr magnetons follow the coordinates.
Sites, in units of the cell vectors:
Be 0.000 0.500 0.500  0.00
Be 0.839 0.339 0.500  0.00
Ru 0.179 0.679 0.500  0.23
Be 0.750 0.750 0.000  0.00
Be 0.500 0.000 0.500  0.00
Be 0.411 0.411 0.000  0.00
Ru 0.929 0.929 0.000  0.23
Be 0.661 0.161 0.500  0.00
Ru 0.321 0.821 0.500  0.23
Ru 0.071 0.071 0.000  0.23
Be 0.250 0.250 0.000  0.00
Be 0.589 0.589 0.000  0.00

Values from the calculation:
theoretical density	6.5	g cm⁻³
ΔE to the lowest computed polymorph	0.11	eV per formula unit



5.
A geometry-optimized ZrBr3Cl structure, computed with PBE-GGA.

Cell lengths 5.386, 5.386, 5.386 Å; angles 90.00, 90.00, 90.00 degrees
Site moments in Bohr magnetons follow the coordinates.
Sites, in units of the cell vectors:
Cl 0.000 0.000 0.000  0.32
Br 0.500 0.000 0.000  0.11
Br 0.000 0.000 0.500  0.11
Zr 0.500 0.500 0.500  1.60
Br 0.000 0.500 0.000  0.11

Values from the calculation:
uncorrected formation energy	0.615	eV per atom
theoretical density	3.9	g cm⁻³
ΔE to the lowest computed polymorph	10.09	eV per formula unit



6.
A geometry-optimized PRuIN2 structure, computed with PBE-GGA.

Cell lengths 3.548, 3.548, 7.449 Å; angles 90.00, 90.00, 90.00 degrees
Site moments in Bohr magnetons follow the coordinates.
Sites, in units of the cell vectors:
N 0.500 0.000 0.000  0.26
I 0.000 0.000 0.500  0.02
Ru 0.500 0.500 0.500  0.71
N 0.000 0.500 0.000  0.26
P 0.000 0.000 0.000  0.01

Values from the calculation:
uncorrected formation energy	1.464	eV per atom
theoretical density	5.1	g cm⁻³
ΔE to the lowest computed polymorph	1.26	eV per formula unit



theoretical density of number 3 (PS5Cl2)? 1.3 g cm⁻³